Entry 1:
Below is an optimized crystal structure of Ga2Pd7Pb, with properties calculated at the PBE level.

a b c (Å): 7.132 7.132 4.454
angles (deg): 90.00 90.00 117.71
Sites, in units of the cell vectors:
1 Ga 0.199 0.801 0.000
2 Ga 0.801 0.199 0.000
3 Pd 0.000 0.000 0.000
4 Pd 0.191 0.432 0.000
5 Pd 0.277 0.723 0.500
6 Pd 0.432 0.191 0.000
7 Pd 0.568 0.809 0.000
8 Pd 0.723 0.277 0.500
9 Pd 0.809 0.568 0.000
10 Pb 0.500 0.500 0.500

Computed properties:
Formation enthalpy at 0 K (eV/atom): -0.08
Fermi-level density of states (states/eV/f.u.): 3.91

---

Entry 2:
Below is an optimized crystal structure of Li5Pd4Pb2, with properties calculated at the PBE level.

a b c (Å): 6.047 6.047 8.277
angles (deg): 123.76 123.76 52.45
Sites, in units of the cell vectors:
1 Li 0.000 0.000 0.000
2 Li 0.238 0.739 0.316
3 Li 0.261 0.762 0.684
4 Li 0.739 0.238 0.316
5 Li 0.762 0.261 0.684
6 Pd 0.243 0.243 0.036
7 Pd 0.257 0.257 0.387
8 Pd 0.743 0.743 0.613
9 Pd 0.757 0.757 0.964
10 Pb 0.307 0.307 0.767
11 Pb 0.693 0.693 0.233

Computed properties:
Formation enthalpy at 0 K (eV/atom): -0.36
Fermi-level density of states (states/eV/f.u.): 3.32

---

Entry 3:
Below is an optimized crystal structure of TbPmGd, with properties calculated at the PBE level.

a b c (Å): 8.001 8.001 8.001
angles (deg): 153.90 153.90 37.24
Sites, in units of the cell vectors:
1 Tb 0.000 0.000 0.000
2 Pm 0.335 0.335 0.000
3 Gd 0.666 0.666 0.000

Computed properties:
Formation enthalpy at 0 K (eV/atom): 0.02
Fermi-level density of states (states/eV/f.u.): 4.93

---

Entry 4:
Below is an optimized crystal structure of Li3PaCr2N6, with properties calculated at the PBE level.

a b c (Å): 6.929 6.929 6.180
angles (deg): 103.45 103.45 26.00
Sites, in units of the cell vectors:
1 Li 0.000 0.000 0.000
2 Li 0.314 0.314 0.655
3 Li 0.686 0.686 0.345
4 Pa 0.000 0.000 0.500
5 Cr 0.335 0.335 0.122
6 Cr 0.665 0.665 0.878
7 N 0.160 0.160 0.620
8 N 0.178 0.178 0.058
9 N 0.477 0.477 0.222
10 N 0.523 0.523 0.778
11 N 0.822 0.822 0.942
12 N 0.840 0.840 0.380

Computed properties:
Fermi-level density of states (states/eV/f.u.): 3.52
ΔE_f (raw) (kJ/mol of formula units): -686

---

Entry 5:
Below is an optimized crystal structure of CaDyIn4, with properties calculated at the PBE level.

a b c (Å): 3.639 4.978 8.686
angles (deg): 90.00 90.08 90.00
Sites, in units of the cell vectors:
1 Ca 0.000 0.000 0.000
2 Dy 0.000 0.500 0.500
3 In 0.467 0.000 0.336
4 In 0.478 0.500 0.831
5 In 0.522 0.500 0.169
6 In 0.533 0.000 0.664

Computed properties:
Distance to the lowest polymorph of the same formula (eV per atom): 0.000
Formation enthalpy at 0 K (eV/atom): -0.37
Fermi-level density of states (states/eV/f.u.): 2.99

---

Entry 6:
Below is an optimized crystal structure of NpTlHg2Cl6, with properties calculated at the PBE level.

a b c (Å): 8.196 8.196 8.196
angles (deg): 60.00 60.00 60.00
Sites, in units of the cell vectors:
1 Np 0.000 0.000 0.000
2 Tl 0.500 0.500 0.500
3 Hg 0.250 0.250 0.250
4 Hg 0.750 0.750 0.750
5 Cl 0.218 0.218 0.782
6 Cl 0.218 0.782 0.218
7 Cl 0.218 0.782 0.782
8 Cl 0.782 0.218 0.218
9 Cl 0.782 0.218 0.782
10 Cl 0.782 0.782 0.218

Computed properties:
Fermi-level density of states (states/eV/f.u.): 11.11
ΔE_f (raw) (kJ/mol of formula units): -1026

---

Entry 7:
Below is an optimized crystal structure of Ca2Nd2AlGa4, with properties calculated at the PBE level.

a b c (Å): 6.823 6.823 6.823
angles (deg): 116.02 116.02 97.05
Sites, in units of the cell vectors:
1 Ca 0.250 0.750 0.500
2 Ca 0.750 0.250 0.500
3 Nd 0.183 0.183 0.000
4 Nd 0.817 0.817 0.000
5 Al 0.500 0.500 0.000
6 Ga 0.257 0.257 0.514
7 Ga 0.257 0.743 0.000
8 Ga 0.743 0.257 0.000
9 Ga 0.743 0.743 0.486

Computed properties:
Formation enthalpy at 0 K (eV/atom): -0.26
Fermi-level density of states (states/eV/f.u.): 6.60

---

Entry 8:
Below is an optimized crystal structure of YTc4Rh, with properties calculated at the PBE level.

a b c (Å): 5.233 5.233 5.233
angles (deg): 60.00 60.00 60.00
Sites, in units of the cell vectors:
1 Y 0.000 0.000 0.000
2 Tc 0.375 0.375 0.375
3 Tc 0.375 0.375 0.874
4 Tc 0.375 0.874 0.375
5 Tc 0.874 0.375 0.375
6 Rh 0.750 0.750 0.750

Computed properties:
Formation enthalpy at 0 K (eV/atom): 0.12
Fermi-level density of states (states/eV/f.u.): 9.88

---

Entry 9:
Below is an optimized crystal structure of Sr2LiAs, with properties calculated at the PBE level.

a b c (Å): 4.396 4.396 6.693
angles (deg): 90.00 90.00 90.00
Sites, in units of the cell vectors:
1 Sr 0.000 0.000 0.000
2 Sr 0.500 0.500 0.389
3 Li 0.500 0.500 0.810
4 As 0.000 0.000 0.526

Computed properties:
Formation enthalpy at 0 K (eV/atom): -0.41
Fermi-level density of states (states/eV/f.u.): 0.36

---

Entry 10:
Below is an optimized crystal structure of Sr2CoAs, with properties calculated at the PBE level.

a b c (Å): 4.344 5.851 5.851
angles (deg): 47.12 90.00 90.00
Sites, in units of the cell vectors:
1 Sr 0.000 0.000 0.000
2 Sr 0.500 0.288 0.288
3 Co 0.500 0.608 0.608
4 As 0.000 0.691 0.691

Computed properties:
Formation enthalpy at 0 K (eV/atom): -0.41
Fermi-level density of states (states/eV/f.u.): 2.90

---

Entry 11:
Below is an optimized crystal structure of Ac2TlZn4Ag3, with properties calculated at the PBE level.

a b c (Å): 4.539 4.539 11.296
angles (deg): 90.00 90.00 90.00
Sites, in units of the cell vectors:
1 Ac 0.000 0.500 0.242
2 Ac 0.500 0.000 0.758
3 Tl 0.000 0.000 0.500
4 Zn 0.000 0.000 0.000
5 Zn 0.000 0.500 0.642
6 Zn 0.500 0.000 0.358
7 Zn 0.500 0.500 0.000
8 Ag 0.000 0.500 0.874
9 Ag 0.500 0.000 0.126
10 Ag 0.500 0.500 0.500

Computed properties:
Formation enthalpy at 0 K (eV/atom): -0.23
Fermi-level density of states (states/eV/f.u.): 6.12

---

Entry 12:
Below is an optimized crystal structure of ThGe4Pt2, with properties calculated at the PBE level.

a b c (Å): 18.305 4.282 6.902
angles (deg): 90.00 90.00 90.00
Sites, in units of the cell vectors:
1 Th 0.143 0.250 0.036
2 Th 0.357 0.750 0.536
3 Th 0.643 0.250 0.464
4 Th 0.857 0.750 0.964
5 Ge 0.042 0.750 0.868
6 Ge 0.062 0.250 0.458
7 Ge 0.172 0.750 0.336
8 Ge 0.198 0.750 0.743
9 Ge 0.302 0.250 0.243
10 Ge 0.328 0.250 0.836
11 Ge 0.438 0.750 0.958
12 Ge 0.458 0.250 0.368
13 Ge 0.542 0.750 0.632
14 Ge 0.562 0.250 0.042
15 Ge 0.672 0.750 0.164
16 Ge 0.698 0.750 0.757
17 Ge 0.802 0.250 0.257
18 Ge 0.828 0.250 0.664
19 Ge 0.938 0.750 0.542
20 Ge 0.958 0.250 0.132
21 Pt 0.018 0.750 0.244
22 Pt 0.203 0.250 0.533
23 Pt 0.297 0.750 0.033
24 Pt 0.482 0.250 0.744
25 Pt 0.518 0.750 0.256
26 Pt 0.703 0.250 0.967
27 Pt 0.797 0.750 0.467
28 Pt 0.982 0.250 0.756

Computed properties:
Formation enthalpy at 0 K (eV/atom): -0.57
Fermi-level density of states (states/eV/f.u.): 3.83

---

Entry 13:
Below is an optimized crystal structure of NaCaH2, with properties calculated at the PBE level.

a b c (Å): 8.014 8.014 8.014
angles (deg): 26.08 26.08 26.08
Sites, in units of the cell vectors:
1 Na 0.000 0.000 0.000
2 Ca 0.825 0.825 0.825
3 H 0.196 0.196 0.196
4 H 0.451 0.451 0.451

Computed properties:
Distance to the lowest polymorph of the same formula (eV per atom): 0.042
Fermi-level density of states (states/eV/f.u.): 0.73

---

Entry 14:
Below is an optimized crystal structure of RbAcInSe3, with properties calculated at the PBE level.

a b c (Å): 9.320 4.969 10.336
angles (deg): 90.00 104.46 90.00
Sites, in units of the cell vectors:
1 Rb 0.198 0.250 0.224
2 Rb 0.802 0.750 0.776
3 Ac 0.331 0.750 0.855
4 Ac 0.669 0.250 0.145
5 In 0.116 0.250 0.591
6 In 0.884 0.750 0.409
7 Se 0.111 0.250 0.853
8 Se 0.199 0.750 0.529
9 Se 0.461 0.750 0.156
10 Se 0.539 0.250 0.844
11 Se 0.801 0.250 0.471
12 Se 0.889 0.750 0.147

Computed properties:
Fermi-level density of states (states/eV/f.u.): 1.07
ΔE_f (raw) (kJ/mol of formula units): -729

---

Entry 15:
Below is an optimized crystal structure of SrCeAg4, with properties calculated at the PBE level.

a b c (Å): 5.865 5.865 5.865
angles (deg): 60.00 60.00 60.00
Sites, in units of the cell vectors:
1 Sr 0.000 0.000 0.000
2 Ce 0.250 0.250 0.250
3 Ag 0.124 0.625 0.625
4 Ag 0.625 0.124 0.625
5 Ag 0.625 0.625 0.124
6 Ag 0.625 0.625 0.625

Computed properties:
Distance to the lowest polymorph of the same formula (eV per atom): 0.099
Formation enthalpy at 0 K (eV/atom): -0.08
Fermi-level density of states (states/eV/f.u.): 11.12

---

Entry 16:
Below is an optimized crystal structure of LaTh5P6, with properties calculated at the PBE level.

a b c (Å): 7.205 7.205 7.208
angles (deg): 99.59 99.59 120.01
Sites, in units of the cell vectors:
1 La 0.000 0.000 0.000
2 Th 0.165 0.835 0.500
3 Th 0.333 0.667 0.000
4 Th 0.500 0.500 0.500
5 Th 0.667 0.333 0.000
6 Th 0.835 0.165 0.500
7 P 0.085 0.422 0.253
8 P 0.254 0.254 0.748
9 P 0.422 0.085 0.253
10 P 0.578 0.915 0.747
11 P 0.746 0.746 0.252
12 P 0.915 0.578 0.747

Computed properties:
Formation enthalpy at 0 K (eV/atom): -1.56
Fermi-level density of states (states/eV/f.u.): 6.42

---

Entry 17:
Below is an optimized crystal structure of Y3Si2Ge2, with properties calculated at the PBE level.

a b c (Å): 5.718 5.718 7.469
angles (deg): 112.91 112.91 42.34
Sites, in units of the cell vectors:
1 Y 0.000 0.000 0.000
2 Y 0.182 0.182 0.642
3 Y 0.818 0.818 0.358
4 Si 0.306 0.306 0.074
5 Si 0.694 0.694 0.926
6 Ge 0.462 0.462 0.658
7 Ge 0.538 0.538 0.342

Computed properties:
Fermi-level density of states (states/eV/f.u.): 3.27
ΔE_f (raw) (kJ/mol of formula units): -513

---

Entry 18:
Below is an optimized crystal structure of Zr2CrSiC, with properties calculated at the PBE level.

a b c (Å): 5.041 5.041 3.499
angles (deg): 90.00 90.00 90.00
Sites, in units of the cell vectors:
1 Zr 0.000 0.500 0.000
2 Zr 0.500 0.000 0.000
3 Cr 0.000 0.000 0.500
4 Si 0.500 0.500 0.000
5 C 0.500 0.500 0.500

Computed properties:
Fermi-level density of states (states/eV/f.u.): 5.09
ΔE_f (raw) (kJ/mol of formula units): 525

---

Entry 19:
Below is an optimized crystal structure of SiTeH, with properties calculated at the PBE level.

a b c (Å): 3.722 3.722 4.845
angles (deg): 90.00 90.00 90.00
Sites, in units of the cell vectors:
1 Si 0.000 0.000 0.000
2 Te 0.500 0.500 0.840
3 H 0.000 0.000 0.312

Computed properties:
Fermi-level density of states (states/eV/f.u.): 0.44

---

Entry 20:
Below is an optimized crystal structure of GaRuPb, with properties calculated at the PBE level.

a b c (Å): 6.248 3.185 6.076
angles (deg): 90.00 90.00 90.00
Sites, in units of the cell vectors:
1 Ga 0.250 0.000 0.213
2 Ga 0.750 0.000 0.787
3 Ru 0.000 0.500 0.000
4 Ru 0.500 0.500 0.000
5 Pb 0.250 0.000 0.692
6 Pb 0.750 0.000 0.308

Computed properties:
Formation enthalpy at 0 K (eV/atom): -0.01
Fermi-level density of states (states/eV/f.u.): 1.47

---

The records above give, respectively, total energy values of -0.3451 -0.2787 -0.5735 -0.5607 -0.2426 -0.2766 -0.2590 -0.6680 -0.2128 -0.3078 -0.1951 -0.4409 -0.2019 -0.3163 -0.2391 -0.5709 -0.4702 -0.5281 -0.2818 -0.3927 Ry/atom.